Entry 1:
Material: CeU3Se6
Method: DFT, PBE
State: optimized geometry

Magnetic moment, μB/cell: 8.22
Final energy, eV/atom: -7.337
E_form (uncorrected), eV/f.u.: -12.66

Cell lengths 11.5803, 4.0881, 12.0160 Å; angles 90.00, 108.36, 90.00 degrees
Element x y z (fractional)
1 Ce 0.0478 0.2500 0.1948
2 Ce 0.9522 0.7500 0.8052
3 U 0.1498 0.2500 0.5789
4 U 0.3159 0.7500 0.0054
5 U 0.4344 0.2500 0.3336
6 U 0.5656 0.7500 0.6664
7 U 0.6841 0.2500 0.9946
8 U 0.8502 0.7500 0.4211
9 Se 0.0878 0.7500 0.4009
10 Se 0.1203 0.2500 0.9646
11 Se 0.1959 0.7500 0.7502
12 Se 0.2592 0.7500 0.2277
13 Se 0.3913 0.2500 0.5587
14 Se 0.4904 0.2500 0.1195
15 Se 0.5096 0.7500 0.8805
16 Se 0.6087 0.7500 0.4413
17 Se 0.7408 0.2500 0.7723
18 Se 0.8041 0.2500 0.2498
19 Se 0.8797 0.7500 0.0354
20 Se 0.9122 0.2500 0.5991

=====

Entry 2:
Material: BeInTe
Method: DFT, PBE
State: optimized geometry

Magnetic moment, μB/cell: 0.00
Final energy, eV/atom: -2.924
E_form (uncorrected), eV/f.u.: 0.83
Excess energy over the best structure of this formula in the dataset, eV/atom: 0.264

Cell lengths 6.5020, 6.5020, 6.5020 Å; angles 147.93, 147.93, 45.99 degrees
Element x y z (fractional)
1 Be 0.0000 0.0000 0.0000
2 In 0.2190 0.2190 0.0000
3 Te 0.4692 0.4692 0.0000

=====

Entry 3:
Material: CaTcGe3
Method: DFT, PBE
State: optimized geometry

Magnetic moment, μB/cell: 2.02
Final energy, eV/atom: -5.544
Excess energy over the best structure of this formula in the dataset, eV/atom: 0.000
Energy of formation from the pure elements, eV/atom: -0.30

Cell lengths 6.2100, 6.2100, 5.8034 Å; angles 90.00, 90.00, 120.05 degrees
Element x y z (fractional)
1 Ca 0.1661 0.8339 0.7500
2 Ca 0.8339 0.1661 0.2500
3 Tc 0.5000 0.5000 0.0000
4 Tc 0.5000 0.5000 0.5000
5 Ge 0.1090 0.3050 0.7500
6 Ge 0.3050 0.1090 0.2500
7 Ge 0.3047 0.6953 0.2500
8 Ge 0.6953 0.3047 0.7500
9 Ge 0.6950 0.8910 0.7500
10 Ge 0.8910 0.6950 0.2500

=====

Entry 4:
Material: TaWS4
Method: DFT, PBE
State: optimized geometry

Magnetic moment, μB/cell: 0.00
Final energy, eV/atom: -7.660
E_form (uncorrected), eV/f.u.: -4.65
Excess energy over the best structure of this formula in the dataset, eV/atom: 0.000

Cell lengths 6.9536, 6.9536, 5.7062 Å; angles 98.29, 98.29, 27.44 degrees
Element x y z (fractional)
1 Ta 0.0000 0.0000 0.0000
2 W 0.5000 0.5000 0.5000
3 S 0.1158 0.1158 0.3777
4 S 0.3832 0.3832 0.1292
5 S 0.6168 0.6168 0.8708
6 S 0.8842 0.8842 0.6223

=====

Entry 5:
Material: TaAg2Au
Method: DFT, PBE
State: optimized geometry

Magnetic moment, μB/cell: 0.00
Final energy, eV/atom: -4.976
Excess energy over the best structure of this formula in the dataset, eV/atom: 0.141
Energy of formation from the pure elements, eV/atom: 0.23

Cell lengths 2.8169, 5.0104, 5.1406 Å; angles 90.00, 90.00, 90.00 degrees
Element x y z (fractional)
1 Ta 0.0000 0.0000 0.0000
2 Ag 0.0000 0.5000 0.5000
3 Ag 0.5000 0.0000 0.5000
4 Au 0.5000 0.5000 0.0000

=====

Entry 6:
Material: BaLa2Os
Method: DFT, PBE
State: optimized geometry

Magnetic moment, μB/cell: 0.00
Final energy, eV/atom: -5.453
Excess energy over the best structure of this formula in the dataset, eV/atom: 0.348
Energy of formation from the pure elements, eV/atom: 0.30

Cell lengths 8.4582, 8.4582, 8.4582 Å; angles 120.04, 120.04, 89.92 degrees
Element x y z (fractional)
1 Ba 0.0000 0.0000 0.0000
2 Ba 0.7500 0.2500 0.5000
3 La 0.3742 0.6250 0.2492
4 La 0.3750 0.6242 0.7492
5 La 0.3758 0.1250 0.7508
6 La 0.8750 0.6258 0.2508
7 Os 0.2500 0.7500 0.5000
8 Os 0.5000 0.5000 0.0000

=====

Q: Which of these has the highest final energy?
A: BeInTe